DFT (PBE) results for PmEr2Tl after structural relaxation.

extended XYZ file:
```
4
Lattice="-2.2766 -0.1880 2.7801 1.2288 -0.8292 3.2787 1.2960 10.2603 4.0836" Properties=species:S:1:pos:R:3 pbc="T T T"
Pm 0.1246 4.6248 5.0718
Er 0.9117 7.7844 3.6014
Er 0.0339 2.1293 2.5003
Tl -0.6979 -0.6738 4.0400
```

Formation energy from the elements   -0.098 eV per atom
Relative energy among the computed polymorphs   0.079 eV per atom
Crystal system   trigonal
Theoretical density   9272 kg/m³
Space group   R3m (160)

---

DFT (PBE) results for Pm3Er2Tl4 after structural relaxation.

extended XYZ file:
```
9
Lattice="5.3569 0.0000 0.0000 -2.6785 4.5963 0.6397 0.0000 -1.4363 10.3710" Properties=species:S:1:pos:R:3 pbc="T T T"
Pm 0.0000 2.2323 6.4328
Pm 0.0000 0.0000 0.0000
Pm 2.6785 0.9277 4.5779
Er 0.0000 2.7435 2.7292
Er 2.6785 0.4165 8.2815
Tl 2.6785 1.3844 1.2682
Tl 0.0000 -0.9433 6.8212
Tl 2.6785 4.1033 4.1895
Tl 0.0000 1.7756 9.7425
```

Formation energy from the elements   -0.297 eV per atom
Crystal system   trigonal
Theoretical density   10125 kg/m³
Space group   P-3m1 (164)

---

DFT (PBE) results for Pm2Er8Tl after structural relaxation.

extended XYZ file:
```
11
Lattice="6.0133 -0.4106 -0.7904 -0.6823 6.0204 -0.4522 1.1579 -0.2173 9.1708" Properties=species:S:1:pos:R:3 pbc="T T T"
Pm 4.8758 3.3867 4.0553
Pm 1.6131 2.0058 3.8729
Er 3.0845 2.3792 7.0434
Er 4.4427 0.1689 2.7038
Er 5.8878 0.6361 5.9348
Er 6.3402 3.8195 7.2618
Er 0.6011 4.7564 1.9934
Er 2.0463 5.2236 5.2244
Er 3.4044 3.0133 0.8848
Er 0.1487 1.5730 0.6664
Tl 3.0067 -0.2053 -0.3952
```

Formation energy from the elements   -0.013 eV per atom
Relative energy among the computed polymorphs   0.016 eV per atom
Crystal system   triclinic
Theoretical density   9098 kg/m³
Space group   P-1 (2)

---

Q: Among the records above, which one has the highest theoretical density?
A: Pm3Er2Tl4